No. 1
This record from Alexandria describes a relaxed LaPm3Pr6 crystal. The functional is PBE.

Formation enthalpy at 0 K in meV/atom: 213

extended XYZ file:
```
10
Lattice="5.0920 2.9399 4.0196 -5.0920 2.9399 4.0196 0.0000 -5.8797 4.0196" Properties=species:S:1:pos:R:3 pbc="T T T"
La 0.0000 0.0000 0.0000
Pm 0.0000 0.0000 3.0342
Pm 0.0000 0.0000 6.0293
Pm 0.0000 0.0000 9.0276
Pr -1.6643 -3.0021 4.0249
Pr -3.3009 0.0017 6.0369
Pr -1.7677 2.9424 4.0249
Pr 1.6490 -2.8595 6.0369
Pr 3.4320 0.0597 4.0249
Pr 1.6519 2.8578 6.0369
```

---

No. 2
This record from Alexandria describes a relaxed BaMg2Os2O7 crystal. The functional is PBE.

Formation energy from raw total energies in meV/atom: -1731.3

extended XYZ file:
```
12
Lattice="-2.0200 2.0200 8.7189 2.0200 -2.0200 8.7189 2.0200 2.0200 -8.7189" Properties=species:S:1:pos:R:3 pbc="T T T"
Ba 0.0000 0.0000 0.0000
Mg 2.0200 0.0000 4.3595
Mg 0.0000 2.0200 4.3595
Os 0.0000 0.0000 6.6948
Os 0.0000 0.0000 10.7430
O 2.0200 0.0000 2.1492
O 0.0000 0.0000 4.6225
O 2.0200 0.0000 6.5697
O 0.0000 0.0000 8.7189
O 0.0000 2.0200 2.1492
O 0.0000 0.0000 12.8153
O 0.0000 2.0200 6.5697
```

---

No. 3
This record from Alexandria describes a relaxed SnP2Os2 crystal. The functional is PBE.

Polymorph energy (0 for the lowest one) in eV/f.u.: 2.39
Formation enthalpy at 0 K in meV/atom: 418

extended XYZ file:
```
10
Lattice="7.4579 0.0000 0.0000 0.0000 7.4579 0.0000 0.0000 0.0000 2.8766" Properties=species:S:1:pos:R:3 pbc="T T T"
Sn 0.0000 0.0000 0.0000
Sn 3.7290 3.7290 0.0000
P 0.9806 2.7483 0.0000
P 2.7483 6.4773 0.0000
P 4.7096 0.9806 0.0000
P 6.4773 4.7096 0.0000
Os 1.0208 4.7497 1.4383
Os 2.7082 1.0208 1.4383
Os 4.7497 6.4371 1.4383
Os 6.4371 2.7082 1.4383
```

---

No. 4
This record from Alexandria describes a relaxed MnAgCl4 crystal. The functional is PBE.

Polymorph energy (0 for the lowest one) in eV/f.u.: 0.00
Formation energy from raw total energies in meV/atom: -780.1

extended XYZ file:
```
12
Lattice="8.0306 -1.8885 0.0000 8.0306 1.8885 0.0000 -7.4497 0.0000 10.4978" Properties=species:S:1:pos:R:3 pbc="T T T"
Mn 4.0153 0.9442 0.0000
Mn 0.2905 -0.9442 5.2489
Ag 2.4434 1.0145 7.8734
Ag 6.1682 -1.0145 2.6245
Cl -0.2035 0.5986 6.8729
Cl 6.2107 0.9475 0.6435
Cl 6.1257 0.9475 4.6054
Cl 3.5213 -0.5986 1.6239
Cl 5.0903 0.5986 8.8739
Cl 2.4859 -0.9475 5.8925
Cl 2.4008 -0.9475 9.8543
Cl 8.8151 -0.5986 3.6250
```

---

No. 5
This record from Alexandria describes a relaxed HfCoRe2 crystal. The functional is PBE.

Polymorph energy (0 for the lowest one) in eV/f.u.: 0.70
Formation enthalpy at 0 K in meV/atom: 468

extended XYZ file:
```
8
Lattice="-1.8127 1.8127 9.9974 1.8127 -1.8127 9.9974 1.8127 1.8127 -9.9974" Properties=species:S:1:pos:R:3 pbc="T T T"
Hf 0.0000 0.0000 0.0000
Hf 0.0000 1.8127 4.9987
Co 1.8127 0.0000 4.9987
Co 0.0000 0.0000 9.9974
Re 0.9064 -0.8785 7.4980
Re 0.9343 0.9064 2.4993
Re 0.9064 2.6912 -2.4993
Re 0.8785 0.9064 12.4967
```

---

No. 6
This record from Alexandria describes a relaxed Sm3TlOs crystal. The functional is PBE.

Polymorph energy (0 for the lowest one) in eV/f.u.: 0.45
Formation enthalpy at 0 K in meV/atom: -147

extended XYZ file:
```
10
Lattice="6.2519 -2.8461 0.0000 6.2519 2.8461 0.0000 -3.4642 0.0000 8.2902" Properties=species:S:1:pos:R:3 pbc="T T T"
Sm 0.4997 0.0000 1.8027
Sm -0.1751 0.0000 5.4424
Sm 4.4646 0.0000 0.9191
Sm 4.5751 0.0000 7.3711
Sm 9.2148 0.0000 2.8478
Sm 8.5400 0.0000 6.4875
Tl 2.9531 0.0000 4.4105
Tl 6.0866 0.0000 3.8797
Os -1.4502 0.0000 7.8052
Os 10.4900 0.0000 0.4850
```

---

What did the second record say?
This record from Alexandria describes a relaxed BaMg2Os2O7 crystal. The functional is PBE.

Formation energy from raw total energies in meV/atom: -1731.3

extended XYZ file:
```
12
Lattice="-2.0200 2.0200 8.7189 2.0200 -2.0200 8.7189 2.0200 2.0200 -8.7189" Properties=species:S:1:pos:R:3 pbc="T T T"
Ba 0.0000 0.0000 0.0000
Mg 2.0200 0.0000 4.3595
Mg 0.0000 2.0200 4.3595
Os 0.0000 0.0000 6.6948
Os 0.0000 0.0000 10.7430
O 2.0200 0.0000 2.1492
O 0.0000 0.0000 4.6225
O 2.0200 0.0000 6.5697
O 0.0000 0.0000 8.7189
O 0.0000 2.0200 2.1492
O 0.0000 0.0000 12.8153
O 0.0000 2.0200 6.5697
```

---

Copy entry 5 word for word.
This record from Alexandria describes a relaxed HfCoRe2 crystal. The functional is PBE.

Polymorph energy (0 for the lowest one) in eV/f.u.: 0.70
Formation enthalpy at 0 K in meV/atom: 468

extended XYZ file:
```
8
Lattice="-1.8127 1.8127 9.9974 1.8127 -1.8127 9.9974 1.8127 1.8127 -9.9974" Properties=species:S:1:pos:R:3 pbc="T T T"
Hf 0.0000 0.0000 0.0000
Hf 0.0000 1.8127 4.9987
Co 1.8127 0.0000 4.9987
Co 0.0000 0.0000 9.9974
Re 0.9064 -0.8785 7.4980
Re 0.9343 0.9064 2.4993
Re 0.9064 2.6912 -2.4993
Re 0.8785 0.9064 12.4967
```